1.
Crystalline NaLi2Nb at its relaxed geometry, computed with GGA-PBEsol.

It has space group Fm-3m (No. 225), with a = 6.687 Å, b = 6.687 Å, c = 6.687 Å, α = 90.00°, β = 90.00° and γ = 90.00°. Symmetry generates all atoms from Na at (0.000, 0.000, 0.000), Li at (0.250, 0.250, 0.250) and Nb at (0.000, 0.000, 0.500).

The formation energy is 0.967 eV/atom. The calculation puts the final energy at -0.1129 Ha/atom. For the volume, the calculation gives 18.690 Å³ per atom.

***

2.
Crystalline GeRuN3 at its relaxed geometry, computed with GGA-PBEsol.

It has space group Pm-3m (No. 221), with a = 3.707 Å, b = 3.707 Å, c = 3.707 Å, α = 90.00°, β = 90.00° and γ = 90.00°. Symmetry generates all atoms from Ge at (0.000, 0.000, 0.000), Ru at (0.500, 0.500, 0.500) and N at (0.000, 0.000, 0.500).

The calculation puts the final energy at -0.2424 Ha/atom. The uncorrected formation energy comes out at 1543 meV/atom. For the volume, the calculation gives 10.186 Å³ per atom.

***

3.
Crystalline K2LiSb at its relaxed geometry, computed with GGA-PBEsol.

It has space group R3m (No. 160, hexagonal axes), with a = 5.1698 Å, b = 5.1698 Å, c = 17.1020 Å, α = 90.00°, β = 90.00° and γ = 120.00°. Symmetry generates all atoms from K at (0.0000, 0.0000, 0.0000), K at (0.0000, 0.0000, 0.2148), Li at (0.0000, 0.0000, 0.4457) and Sb at (0.0000, 0.0000, 0.7732).

As for the excess energy over the best structure of this formula in the dataset: 0 meV per atom. The calculation puts the final energy at -0.0969 Ha/atom. The uncorrected formation energy comes out at -438 meV/atom. For the volume, the calculation gives 32.987 Å³ per atom.

***

4.
Crystalline Mg5Co at its relaxed geometry, computed with GGA-PBEsol.

It has space group Cmmm (No. 65), with a = 4.403 Å, b = 11.441 Å, c = 4.427 Å, α = 90.00°, β = 90.00° and γ = 90.00°. Symmetry generates all atoms from Mg at (0.000, 0.000, 0.000), Mg at (0.000, 0.152, 0.500), Mg at (0.000, 0.349, 0.000) and Co at (0.000, 0.500, 0.500).

As for the excess energy over the best structure of this formula in the dataset: 60 meV per atom. The formation energy is 0.141 eV/atom. The calculation puts the final energy at -0.0948 Ha/atom. For the volume, the calculation gives 18.586 Å³ per atom.

***

5.
Crystalline La2AuF at its relaxed geometry, computed with GGA-PBEsol.

It has space group Fm-3m (No. 225), with a = 7.164 Å, b = 7.164 Å, c = 7.164 Å, α = 90.00°, β = 90.00° and γ = 90.00°. Symmetry generates all atoms from La at (0.250, 0.250, 0.250), Au at (0.000, 0.000, 0.000) and F at (0.000, 0.000, 0.500).

The calculation puts the final energy at -0.1982 Ha/atom. The uncorrected formation energy comes out at -1257 meV/atom. For the volume, the calculation gives 22.983 Å³ per atom.

***

6.
Crystalline Nb3Bi2S6 at its relaxed geometry, computed with GGA-PBEsol.

It has space group P6_3/mcm (No. 193), with a = 5.7093 Å, b = 5.7093 Å, c = 17.3058 Å, α = 90.00°, β = 90.00° and γ = 120.00°. Symmetry generates all atoms from Nb at (0.0000, 0.3262, 0.2500), Bi at (0.3333, 0.6667, 0.0000), S at (0.0000, 0.0000, 0.1572) and S at (0.3333, 0.6667, 0.1610).

The calculation puts the final energy at -0.2606 Ha/atom. The uncorrected formation energy comes out at -969 meV/atom. For the volume, the calculation gives 22.206 Å³ per atom.

***

7.
Crystalline BaCu4O4 at its relaxed geometry, computed with GGA-PBEsol.

It has space group P4/nbm (No. 125, origin choice 2), with a = 6.352 Å, b = 6.352 Å, c = 6.454 Å, α = 90.00°, β = 90.00° and γ = 90.00°. Symmetry generates all atoms from Ba at (0.250, 0.250, 0.000), Cu at (0.000, 0.000, 0.500), Cu at (0.250, 0.750, 0.289) and O at (0.052, 0.552, 0.232).

The calculation puts the final energy at -0.2002 Ha/atom. The uncorrected formation energy comes out at -949 meV/atom. For the volume, the calculation gives 14.465 Å³ per atom.

***

8.
Crystalline Te3P at its relaxed geometry, computed with GGA-PBEsol.

It has space group Cmmm (No. 65), with a = 3.633 Å, b = 5.227 Å, c = 10.427 Å, α = 90.00°, β = 90.00° and γ = 90.00°. Symmetry generates all atoms from Te at (0.000, 0.000, 0.000), Te at (0.000, 0.500, 0.300) and P at (0.000, 0.000, 0.500).

As for the excess energy over the best structure of this formula in the dataset: 81 meV per atom. The calculation puts the final energy at -0.1373 Ha/atom. The uncorrected formation energy comes out at 355 meV/atom. For the volume, the calculation gives 24.751 Å³ per atom.

***

9.
Crystalline Mg2InAu at its relaxed geometry, computed with GGA-PBEsol.

It has space group Cmmm (No. 65), with a = 6.173 Å, b = 7.448 Å, c = 3.390 Å, α = 90.00°, β = 90.00° and γ = 90.00°. Symmetry generates all atoms from Mg at (0.250, 0.250, 0.000), In at (0.000, 0.000, 0.500) and Au at (0.000, 0.500, 0.500).

The formation energy is -0.305 eV/atom. The calculation puts the final energy at -0.1062 Ha/atom. For the volume, the calculation gives 19.483 Å³ per atom.

***

10.
Crystalline CoAg4Rh at its relaxed geometry, computed with GGA-PBEsol.

It has space group F-43m (No. 216), with a = 7.313 Å, b = 7.313 Å, c = 7.313 Å, α = 90.00°, β = 90.00° and γ = 90.00°. Symmetry generates all atoms from Co at (0.000, 0.000, 0.000), Ag at (0.125, 0.125, 0.625) and Rh at (0.250, 0.250, 0.250).

The formation energy is 0.687 eV/atom. The calculation puts the final energy at -0.1531 Ha/atom. For the volume, the calculation gives 16.296 Å³ per atom.

***

11.
Crystalline La2CoP at its relaxed geometry, computed with GGA-PBEsol.

It has space group Amm2 (No. 38), with a = 4.044 Å, b = 4.088 Å, c = 10.538 Å, α = 90.00°, β = 90.00° and γ = 90.00°. Symmetry generates all atoms from La at (0.000, 0.000, 0.000), La at (0.500, 0.000, 0.285), Co at (0.500, 0.000, 0.591) and P at (0.000, 0.000, 0.703).

The formation energy is -0.789 eV/atom. The calculation puts the final energy at -0.2515 Ha/atom. For the volume, the calculation gives 21.782 Å³ per atom.

***

12.
Crystalline Cu5Au at its relaxed geometry, computed with GGA-PBEsol.

It has space group Cm (No. 8), with a = 9.579 Å, b = 2.639 Å, c = 6.118 Å, α = 90.00°, β = 106.25° and γ = 90.00°. Symmetry generates all atoms from Cu at (0.000, 0.000, 0.000), Cu at (0.048, 0.000, 0.620), Cu at (0.221, 0.500, 0.938), Cu at (0.341, 0.000, 0.691), Cu at (0.391, 0.000, 0.269) and Au at (0.172, 0.500, 0.347).

As for the excess energy over the best structure of this formula in the dataset: 35 meV per atom. The formation energy is 0.016 eV/atom. The calculation puts the final energy at -0.1562 Ha/atom. For the volume, the calculation gives 12.372 Å³ per atom.